Here is crystalline KBaErI6 at its relaxed geometry from Alexandria via LeMat-Bulk. Energies are from PBE.

Properties
Calculated volume ... 462.8 Å³/f.u.
Uncorrected formation energy ... -1.5319 eV/atom
DOS(E_F) ... 0.0 states/eV per cell
Size of the total moment ... 0.000 μB/f.u.
Theoretical density ... 3.97 Mg/m³

Unit cell a=8.466 b=8.466 c=14.911 alpha=90.00 beta=90.00 gamma=120.00
Positions (direct):
1 I 0.339 0.380 0.869
2 I 0.661 0.620 0.131
3 I 0.040 0.661 0.869
4 I 0.620 0.960 0.869
5 I 0.661 0.040 0.369
6 I 0.380 0.040 0.131
7 I 0.960 0.339 0.131
8 I 0.960 0.620 0.369
9 I 0.380 0.339 0.369
10 I 0.040 0.380 0.631
11 I 0.339 0.960 0.631
12 I 0.620 0.661 0.631
13 K 0.000 0.000 0.000
14 K 0.000 0.000 0.500
15 Er 0.667 0.333 0.250
16 Er 0.333 0.667 0.750
17 Ba 0.667 0.333 0.750
18 Ba 0.333 0.667 0.250

=====

Here is crystalline Dy5Ni3 at its relaxed geometry from Alexandria via LeMat-Bulk. Energies are from PBE.

Properties
Calculated volume ... 181.4 Å³/f.u.
E_form ... -0.321 eV per atom
DOS(E_F) ... 31.1 states/eV per cell
Size of the total moment ... 0.000 μB/f.u.
Theoretical density ... 9.05 Mg/m³

Unit cell a=6.234 b=10.788 c=10.788 alpha=90.00 beta=90.00 gamma=90.00
Positions (direct):
1 Ni 0.750 0.347 0.653
2 Ni 0.626 0.500 0.000
3 Ni 0.250 0.847 0.153
4 Ni 0.874 0.000 0.500
5 Ni 0.750 0.653 0.347
6 Ni 0.250 0.153 0.847
7 Ni 0.250 0.347 0.347
8 Ni 0.750 0.847 0.847
9 Ni 0.250 0.653 0.653
10 Ni 0.126 0.500 0.000
11 Ni 0.750 0.153 0.153
12 Ni 0.374 0.000 0.500
13 Dy 0.382 0.707 0.909
14 Dy 0.882 0.591 0.793
15 Dy 0.118 0.091 0.293
16 Dy 0.500 0.000 0.000
17 Dy 0.618 0.793 0.591
18 Dy 0.500 0.500 0.500
19 Dy 0.882 0.293 0.909
20 Dy 0.118 0.207 0.591
21 Dy 0.000 0.000 0.000
22 Dy 0.618 0.091 0.707
23 Dy 0.882 0.409 0.207
24 Dy 0.382 0.591 0.207
25 Dy 0.882 0.707 0.091
26 Dy 0.382 0.409 0.793
27 Dy 0.618 0.207 0.409
28 Dy 0.382 0.293 0.091
29 Dy 0.618 0.909 0.293
30 Dy 0.118 0.793 0.409
31 Dy 0.118 0.909 0.707
32 Dy 0.000 0.500 0.500

=====

Here is crystalline InMoRu3 at its relaxed geometry from Alexandria via LeMat-Bulk. Energies are from PBE.

Properties
Calculated volume ... 103.4 Å³/f.u.
E_form ... 2.388 eV per atom
DOS(E_F) ... 8.0 states/eV per cell
Size of the total moment ... 0.000 μB/f.u.
Theoretical density ... 8.25 Mg/m³

Unit cell a=4.693 b=4.693 c=4.693 alpha=90.00 beta=90.00 gamma=90.00
Positions (direct):
1 Ru 0.500 0.000 0.000
2 Ru 0.000 0.500 0.000
3 Ru 0.000 0.000 0.500
4 In 0.000 0.000 0.000
5 Mo 0.500 0.500 0.500

=====

Here is crystalline Li2TmCd2In2 at its relaxed geometry from Alexandria via LeMat-Bulk. Energies are from PBE.

Properties
Calculated volume ... 153.2 Å³/f.u.
E_form ... -0.267 eV per atom
DOS(E_F) ... 2.4 states/eV per cell
Size of the total moment ... 0.000 μB/f.u.
Theoretical density ... 6.91 Mg/m³

Unit cell a=4.853 b=4.853 c=8.015 alpha=72.38 beta=72.38 gamma=60.00
Positions (direct):
1 Cd 0.569 0.569 0.292
2 Cd 0.431 0.431 0.708
3 Tm 0.000 0.000 0.000
4 In 0.729 0.729 0.812
5 In 0.271 0.271 0.188
6 Li 0.142 0.142 0.575
7 Li 0.858 0.858 0.425

=====

Here is crystalline AgSb2Pb3 at its relaxed geometry from Alexandria via LeMat-Bulk. Energies are from PBE.

Properties
Calculated volume ... 179.2 Å³/f.u.
Uncorrected formation energy ... 0.0266 eV/atom
DOS(E_F) ... 6.5 states/eV per cell
Size of the total moment ... 0.000 μB/f.u.
Theoretical density ... 9.02 Mg/m³

Unit cell a=4.712 b=10.899 c=13.957 alpha=90.00 beta=90.00 gamma=90.00
Positions (direct):
1 Pb 0.750 0.540 0.913
2 Pb 0.250 0.460 0.087
3 Pb 0.250 0.039 0.899
4 Pb 0.250 0.742 0.739
5 Pb 0.250 0.758 0.239
6 Pb 0.250 0.461 0.399
7 Pb 0.250 0.040 0.587
8 Pb 0.750 0.242 0.761
9 Pb 0.750 0.539 0.601
10 Pb 0.750 0.258 0.261
11 Pb 0.750 0.961 0.101
12 Pb 0.750 0.960 0.413
13 Sb 0.750 0.266 0.496
14 Sb 0.750 0.234 0.996
15 Sb 0.250 0.449 0.778
16 Sb 0.750 0.949 0.722
17 Sb 0.250 0.734 0.504
18 Sb 0.750 0.551 0.222
19 Sb 0.250 0.766 0.004
20 Sb 0.250 0.051 0.278
21 Ag 0.750 0.825 0.900
22 Ag 0.750 0.675 0.400
23 Ag 0.250 0.175 0.100
24 Ag 0.250 0.325 0.600

=====

Here is crystalline YGaS3 at its relaxed geometry from Alexandria via LeMat-Bulk. Energies are from PBE.

Properties
Calculated volume ... 147.4 Å³/f.u.
Uncorrected formation energy ... -0.4777 eV/atom
DOS(E_F) ... 7.4 states/eV per cell
Size of the total moment ... 1.407 μB/f.u.
Theoretical density ... 2.87 Mg/m³

Unit cell a=5.282 b=5.282 c=5.282 alpha=90.00 beta=90.00 gamma=90.00
Site moments in Bohr magnetons follow the coordinates.
Positions (direct):
1 S 0.500 0.000 0.000  0.23
2 S 0.000 0.500 0.000  0.35
3 S 0.000 0.000 0.500  0.31
4 Ga 0.500 0.500 0.500  -0.01
5 Y 0.000 0.000 0.000  -0.02

=====

Here is crystalline AlSi2Te at its relaxed geometry from Alexandria via LeMat-Bulk. Energies are from PBE.

Properties
Calculated volume ... 89.2 Å³/f.u.
Uncorrected formation energy ... 0.2978 eV/atom
DOS(E_F) ... 0.9 states/eV per cell
Size of the total moment ... 0.000 μB/f.u.
Theoretical density ... 3.92 Mg/m³

Unit cell a=4.530 b=4.530 c=5.923 alpha=93.18 beta=93.18 gamma=47.32
Positions (direct):
1 Al 0.653 0.653 0.015
2 Si 0.358 0.358 0.131
3 Si 0.935 0.935 0.852
4 Te 0.554 0.554 0.502

=====

Here is crystalline La2Tb3S4 at its relaxed geometry from Alexandria via LeMat-Bulk. Energies are from PBE.

Properties
Calculated volume ... 224.1 Å³/f.u.
Uncorrected formation energy ... -1.8056 eV/atom
DOS(E_F) ... 5.7 states/eV per cell
Size of the total moment ... 0.000 μB/f.u.
Theoretical density ... 6.54 Mg/m³

Unit cell a=3.956 b=6.867 c=9.042 alpha=74.70 beta=77.36 gamma=73.26
Positions (direct):
1 S 0.802 0.108 0.289
2 S 0.198 0.892 0.711
3 S 0.604 0.699 0.094
4 S 0.396 0.301 0.906
5 Tb 0.000 0.000 0.000
6 Tb 0.207 0.396 0.191
7 Tb 0.793 0.604 0.809
8 La 0.401 0.795 0.403
9 La 0.599 0.205 0.597

=====

Here is crystalline Tb2TcCl at its relaxed geometry from Alexandria via LeMat-Bulk. Energies are from PBE.

Properties
Calculated volume ... 90.6 Å³/f.u.
Uncorrected formation energy ... -0.0012 eV/atom
DOS(E_F) ... 3.7 states/eV per cell
Size of the total moment ... 1.166 μB/f.u.
Theoretical density ... 8.27 Mg/m³

Unit cell a=3.250 b=3.250 c=10.083 alpha=80.73 beta=80.73 gamma=60.00
Site moments in Bohr magnetons follow the coordinates.
Positions (direct):
1 Tb 0.089 0.089 0.732  0.01
2 Tb 0.911 0.911 0.268  0.01
3 Tc 0.000 0.000 0.000  1.03
4 Cl 0.500 0.500 0.500  0.01

=====

Here is crystalline HoZn4Au2 at its relaxed geometry from Alexandria via LeMat-Bulk. Energies are from PBE.

Properties
Calculated volume ... 126.4 Å³/f.u.
E_form ... -0.395 eV per atom
DOS(E_F) ... 3.2 states/eV per cell
Size of the total moment ... 0.000 μB/f.u.
Theoretical density ... 10.78 Mg/m³

Unit cell a=4.383 b=7.596 c=7.596 alpha=90.00 beta=90.00 gamma=90.00
Positions (direct):
1 Ho 0.000 0.500 0.500
2 Ho 0.500 0.000 0.000
3 Zn 0.500 0.602 0.143
4 Zn 0.000 0.898 0.643
5 Zn 0.000 0.643 0.898
6 Zn 0.500 0.398 0.857
7 Zn 0.000 0.102 0.357
8 Zn 0.500 0.857 0.398
9 Zn 0.000 0.357 0.102
10 Zn 0.500 0.143 0.602
11 Au 0.000 0.796 0.204
12 Au 0.000 0.204 0.796
13 Au 0.500 0.704 0.704
14 Au 0.500 0.296 0.296

=====

Here is crystalline Na2VPbS4 at its relaxed geometry from Alexandria via LeMat-Bulk. Energies are from PBE.

Properties
Calculated volume ... 213.0 Å³/f.u.
Uncorrected formation energy ... -0.8452 eV/atom
DOS(E_F) ... 7.1 states/eV per cell
Size of the total moment ... 1.000 μB/f.u.
Theoretical density ... 3.37 Mg/m³

Unit cell a=5.954 b=7.524 c=9.508 alpha=90.00 beta=90.00 gamma=90.00
Site moments in Bohr magnetons follow the coordinates.
Positions (direct):
1 S 0.924 0.308 0.198  -0.04
2 S 0.929 0.878 0.000  -0.03
3 S 0.429 0.122 0.500  -0.03
4 S 0.388 0.158 0.000  -0.03
5 S 0.888 0.842 0.500  -0.03
6 S 0.924 0.308 0.802  -0.04
7 S 0.424 0.692 0.698  -0.04
8 S 0.424 0.692 0.302  -0.04
9 V 0.513 0.829 0.500  0.97
10 V 0.013 0.171 0.000  0.97
11 Pb 0.944 0.191 0.500  0.04
12 Pb 0.444 0.809 0.000  0.04
13 Na 0.939 0.679 0.247  0.00
14 Na 0.939 0.679 0.753  0.00
15 Na 0.439 0.321 0.253  0.00
16 Na 0.439 0.321 0.747  0.00

=====

Here is crystalline Ga3SnRu4 at its relaxed geometry from Alexandria via LeMat-Bulk. Energies are from PBE.

Properties
Calculated volume ... 117.4 Å³/f.u.
E_form ... -0.241 eV per atom
DOS(E_F) ... 14.8 states/eV per cell
Size of the total moment ... 0.000 μB/f.u.
Theoretical density ... 10.35 Mg/m³

Unit cell a=4.363 b=6.169 c=8.726 alpha=90.00 beta=90.00 gamma=90.00
Positions (direct):
1 Ru 0.000 0.758 0.250
2 Ru 0.500 0.758 0.000
3 Ru 0.000 0.242 0.250
4 Ru 0.500 0.242 0.500
5 Ru 0.500 0.242 0.000
6 Ru 0.000 0.242 0.750
7 Ru 0.500 0.758 0.500
8 Ru 0.000 0.758 0.750
9 Sn 0.000 0.500 0.500
10 Sn 0.000 0.500 0.000
11 Ga 0.000 0.000 0.000
12 Ga 0.500 0.500 0.250
13 Ga 0.500 0.500 0.750
14 Ga 0.500 0.000 0.250
15 Ga 0.500 0.000 0.750
16 Ga 0.000 0.000 0.500